[1]
Density functional theory data (PBE) for Na3ZrPb2Se6 after structural relaxation.

The structure in extended XYZ format:
```
12
Lattice="3.641 -6.312 0.000 3.641 6.312 0.000 -2.470 0.000 6.954" Properties=species:S:1:pos:R:3 pbc="T T T"
Na 0.000 0.000 0.000
Na 3.641 2.218 0.000
Na 3.641 -2.218 0.000
Zr 2.406 0.000 3.477
Pb 2.406 4.229 3.477
Pb 2.406 -4.229 3.477
Se 1.306 1.925 1.865
Se 0.199 0.000 5.085
Se 1.306 -1.925 1.865
Se 3.506 1.925 5.089
Se 4.613 0.000 1.869
Se 3.506 -1.925 5.089
```

Output
Total DFT energy (no corrections), eV/atom: -4.360
Total magnetization, μB/cell: 0.00
E_form (uncorrected), meV per atom: -958

---

[2]
Density functional theory data (PBE) for MgCd2P after structural relaxation.

The structure in extended XYZ format:
```
4
Lattice="3.673 0.000 0.000 0.000 3.673 0.000 0.000 0.000 6.291" Properties=species:S:1:pos:R:3 pbc="T T T"
Mg 0.000 0.000 0.000
Cd 0.000 0.000 2.858
Cd 1.837 1.837 4.343
P 1.837 1.837 0.750
```

Output
Energy of formation from the pure elements, eV per atom: 0.003
Total DFT energy (no corrections), eV/atom: -2.206
Total magnetization, μB/cell: 0.00

---

[3]
Density functional theory data (PBE) for CeSm2Pb after structural relaxation.

The structure in extended XYZ format:
```
4
Lattice="4.136 0.000 0.000 0.000 4.136 0.000 0.000 0.000 7.092" Properties=species:S:1:pos:R:3 pbc="T T T"
Ce 0.000 0.000 0.000
Sm 2.068 2.068 1.910
Sm 2.068 2.068 5.183
Pb 0.000 0.000 3.546
```

Output
Energy of formation from the pure elements, eV per atom: -0.182
Total DFT energy (no corrections), eV/atom: -4.952
Distance to the lowest polymorph of the same formula, meV per atom: 98
Total magnetization, μB/cell: 1.42

---

[4]
Density functional theory data (PBE) for Tb5ThIr6 after structural relaxation.

The structure in extended XYZ format:
```
12
Lattice="2.422 -7.255 0.000 2.422 7.255 0.000 0.000 0.000 7.137" Properties=species:S:1:pos:R:3 pbc="T T T"
Tb 0.000 0.000 0.000
Tb 2.422 2.469 3.568
Tb 2.422 2.430 0.000
Tb 2.422 -2.430 0.000
Tb 2.422 -2.469 3.568
Th 0.000 0.000 3.568
Ir 2.422 4.859 1.780
Ir 2.422 4.859 5.356
Ir 2.422 0.000 1.787
Ir 2.422 0.000 5.349
Ir 2.422 -4.859 1.780
Ir 2.422 -4.859 5.356
```

Output
Energy of formation from the pure elements, eV per atom: -0.792
Total DFT energy (no corrections), eV/atom: -7.770
Total magnetization, μB/cell: 0.00